This record from Alexandria describes crystalline BeTeAs at its relaxed geometry. The functional is GGA-PBEsol.

Cell lengths 6.2434, 5.8267, 3.5026 Å; angles 79.78, 66.70, 33.51 degrees
Atoms (fractional coordinates):
Be: 0.0000 0.0000 0.0000
Te: 0.3514 0.3514 0.6486
As: 0.6061 0.6061 0.3939

**Energy above the most stable polymorph in this dataset**: 91 meV per atom
**Formation energy from raw total energies**: 1.015 eV/f.u.


This record from Alexandria describes crystalline TlPd2 at its relaxed geometry. The functional is GGA-PBEsol.

Cell lengths 5.7347, 4.2031, 8.3568 Å; angles 90.00, 90.00, 90.00 degrees
Atoms (fractional coordinates):
Tl: 0.1694 0.2500 0.0991
Tl: 0.3306 0.7500 0.5991
Tl: 0.6694 0.2500 0.4009
Tl: 0.8306 0.7500 0.9009
Pd: 0.0823 0.2500 0.7654
Pd: 0.1473 0.2500 0.4260
Pd: 0.3527 0.7500 0.9260
Pd: 0.4177 0.7500 0.2654
Pd: 0.5823 0.2500 0.7346
Pd: 0.6473 0.2500 0.0740
Pd: 0.8527 0.7500 0.5740
Pd: 0.9177 0.7500 0.2346

**E_form**: -0.23 eV per atom


This record from Alexandria describes crystalline Tm2Ga9Ir3 at its relaxed geometry. The functional is GGA-PBEsol.

Cell lengths 7.4473, 7.4473, 9.3334 Å; angles 90.00, 90.00, 60.17 degrees
Atoms (fractional coordinates):
Tm: 0.0025 0.6698 0.7500
Tm: 0.3302 0.9975 0.7500
Tm: 0.6698 0.0025 0.2500
Tm: 0.9975 0.3302 0.2500
Ga: 0.0006 0.3347 0.5813
Ga: 0.0006 0.3347 0.9187
Ga: 0.1294 0.8706 0.2500
Ga: 0.3320 0.6680 0.5682
Ga: 0.3320 0.6680 0.9318
Ga: 0.3347 0.0006 0.0813
Ga: 0.3347 0.0006 0.4187
Ga: 0.3390 0.4531 0.2500
Ga: 0.4531 0.3390 0.7500
Ga: 0.5469 0.6610 0.2500
Ga: 0.6610 0.5469 0.7500
Ga: 0.6653 0.9994 0.5813
Ga: 0.6653 0.9994 0.9187
Ga: 0.6680 0.3320 0.0682
Ga: 0.6680 0.3320 0.4318
Ga: 0.8706 0.1294 0.7500
Ga: 0.9994 0.6653 0.0813
Ga: 0.9994 0.6653 0.4187
Ir: 0.0000 0.0000 0.0000
Ir: 0.0000 0.0000 0.5000
Ir: 0.3283 0.3283 0.0000
Ir: 0.3283 0.3283 0.5000
Ir: 0.6717 0.6717 0.0000
Ir: 0.6717 0.6717 0.5000

**E_form**: -0.70 eV per atom


This record from Alexandria describes crystalline ReAsPt2 at its relaxed geometry. The functional is GGA-PBEsol.

Cell lengths 8.6184, 8.6184, 8.6184 Å; angles 19.14, 19.14, 19.14 degrees
Atoms (fractional coordinates):
Re: 0.0000 0.0000 0.0000
As: 0.2565 0.2565 0.2565
Pt: 0.5078 0.5078 0.5078
Pt: 0.7506 0.7506 0.7506

**E_form**: 0.10 eV per atom